Density functional theory data (PBE-GGA) for a geometry-optimized LiCrSe3 structure.

As for the crystal system: orthorhombic. The density of states at the Fermi level is 0.38 states/eV/cell. The calculated total energy comes out at -4.803 eV/atom. For the distance to the lowest polymorph of the same formula, the calculation gives 0.195 eV/atom. The value obtained for the uncorrected formation energy is -39.1 kJ per mole of atoms.

Cell lengths 3.6765, 7.2474, 11.3797 Å; angles 90.00, 90.00, 90.00 degrees
Closest atoms and distances in Å follow each position.
Space group Amm2 (No. 38)
Inequivalent atoms, fractional coordinates:
Li 0.0000 0.0000 0.0000  4 Se 2.66
Cr 0.5000 0.0000 0.5556  4 Se 2.22-2.33
Se 0.0000 0.0000 0.6813  2 Cr 2.33
Se 0.5000 0.2502 0.4429  1 Cr 2.22

Density functional theory data (PBE-GGA) for a geometry-optimized Li2CrSe structure.

As for the crystal system: cubic. The density of states at the Fermi level is 5.07 states/eV/cell. The calculated total energy comes out at -4.360 eV/atom. The value obtained for the uncorrected formation energy is -12.2 kJ per mole of atoms.

Cell lengths 6.3522, 6.3522, 6.3522 Å; angles 90.00, 90.00, 90.00 degrees
Closest atoms and distances in Å follow each position.
Space group F-43m (No. 216)
Inequivalent atoms, fractional coordinates:
Li 0.0000 0.0000 0.0000  4 Cr 2.75, 4 Li 2.75
Li 0.2500 0.2500 0.2500  4 Li 2.75, 4 Se 2.75
Cr 0.2500 0.2500 0.7500  4 Se 2.75, 4 Li 2.75
Se 0.0000 0.0000 0.5000  4 Li 2.75, 4 Cr 2.75

Density functional theory data (PBE-GGA) for a geometry-optimized LiCrSe3 structure.

As for the crystal system: tetragonal. The density of states at the Fermi level is 9.61 states/eV/cell. The calculated total energy comes out at -4.394 eV/atom. For the distance to the lowest polymorph of the same formula, the calculation gives 0.605 eV/atom. The value obtained for the uncorrected formation energy is 0.4 kJ per mole of atoms.

Cell lengths 4.9442, 4.9442, 21.1875 Å; angles 90.00, 90.00, 90.00 degrees
Closest atoms and distances in Å follow each position.
Space group I-4m2 (No. 119)
Inequivalent atoms, fractional coordinates:
Li 0.0000 0.0000 0.0000  4 Se 2.61
Li 0.0000 0.5000 0.2500  4 Se 2.52
Cr 0.0000 0.5000 0.7049  1 Cr 1.91
Se 0.0000 0.0000 0.2718  2 Li 2.52, 2 Cr 2.52
Se 0.0000 0.2665 0.1062  1 Se 2.31

Density functional theory data (PBE-GGA) for a geometry-optimized LiCrSe3 structure.

As for the crystal system: hexagonal. The density of states at the Fermi level is 5.14 states/eV/cell. The calculated total energy comes out at -4.697 eV/atom. For the distance to the lowest polymorph of the same formula, the calculation gives 0.302 eV/atom. The value obtained for the uncorrected formation energy is -28.8 kJ per mole of atoms.

Cell lengths 3.9869, 3.9869, 15.3556 Å; angles 90.00, 90.00, 120.00 degrees
Closest atoms and distances in Å follow each position.
Space group P6_3/mmc (No. 194)
Inequivalent atoms, fractional coordinates:
Li 0.0000 0.0000 0.0000  6 Se 2.73
Cr 0.3333 0.6667 0.2500  5 Se 2.30-2.38
Se 0.0000 0.0000 0.2500  3 Cr 2.30
Se 0.3333 0.6667 0.0952  1 Cr 2.38

Density functional theory data (PBE-GGA) for a geometry-optimized LiCrSe3 structure.

As for the crystal system: triclinic. The density of states at the Fermi level is 0.65 states/eV/cell. The calculated total energy comes out at -4.922 eV/atom. For the distance to the lowest polymorph of the same formula, the calculation gives 0.076 eV/atom. The value obtained for the uncorrected formation energy is -50.6 kJ per mole of atoms.

Cell lengths 6.1354, 6.7633, 6.9564 Å; angles 116.80, 110.49, 95.54 degrees
Closest atoms and distances in Å follow each position.
Space group P1 (No. 1)
Inequivalent atoms, fractional coordinates:
Li 0.0000 0.0000 0.0000  3 Se 2.57-2.65
Li 0.4587 0.7506 0.4564  6 Se 2.71-2.83, 1 Cr 3.00
Cr 0.1841 0.0715 0.6654  4 Se 2.27-2.36
Cr 0.7941 0.2178 0.6492  5 Se 2.28-2.55
Se 0.1893 0.3975 0.9752  2 Cr 2.27-2.37
Se 0.2030 0.7633 0.7279  1 Cr 2.32, 1 Se 2.52
Se 0.3341 0.1100 0.4112  2 Cr 2.36-2.55, 1 Li 2.57
Se 0.6464 0.1683 0.9036  2 Cr 2.38-2.57, 1 Li 2.57
Se 0.7759 0.5124 0.5668  1 Cr 2.31, 1 Se 2.52
Se 0.7927 0.8945 0.3379  2 Cr 2.28-2.36

Density functional theory data (PBE-GGA) for a geometry-optimized Li4CrSe structure.

As for the crystal system: cubic. The density of states at the Fermi level is 5.36 states/eV/cell. The calculated total energy comes out at -3.377 eV/atom. The value obtained for the uncorrected formation energy is 8.1 kJ per mole of atoms.

Cell lengths 7.4412, 7.4412, 7.4412 Å; angles 90.00, 90.00, 90.00 degrees
Closest atoms and distances in Å follow each position.
Space group F-43m (No. 216)
Inequivalent atoms, fractional coordinates:
Li 0.1251 0.1251 0.1251  6 Li 2.63
Cr 0.0000 0.0000 0.5000  12 Li 3.08, 4 Se 3.22
Se 0.2500 0.2500 0.7500  12 Li 3.09, 4 Cr 3.22

Density functional theory data (PBE-GGA) for a geometry-optimized LiCrSe structure.

As for the crystal system: trigonal. The density of states at the Fermi level is 0.84 states/eV/cell. The calculated total energy comes out at -5.181 eV/atom. For the distance to the lowest polymorph of the same formula, the calculation gives 0.256 eV/atom. The value obtained for the uncorrected formation energy is -16.8 kJ per mole of atoms.

Cell lengths 4.3059, 4.3059, 3.9648 Å; angles 90.00, 90.00, 120.00 degrees
Closest atoms and distances in Å follow each position.
Space group P3m1 (No. 156)
Inequivalent atoms, fractional coordinates:
Li 0.0000 0.0000 0.0000  3 Se 2.93, 6 Cr 3.13-3.23
Cr 0.3333 0.6667 0.4782  3 Se 2.51
Se 0.6667 0.3333 0.3899  3 Cr 2.51

Density functional theory data (PBE-GGA) for a geometry-optimized Li2CrSe structure.

As for the crystal system: trigonal. The density of states at the Fermi level is 3.87 states/eV/cell. The calculated total energy comes out at -4.300 eV/atom. The value obtained for the uncorrected formation energy is -6.3 kJ per mole of atoms.

Cell lengths 4.1493, 4.1493, 14.6098 Å; angles 90.00, 90.00, 120.00 degrees
Closest atoms and distances in Å follow each position.
Space group R-3m (No. 166, hexagonal axes)
Inequivalent atoms, fractional coordinates:
Li 0.0000 0.0000 0.2234  3 Se 2.53
Cr 0.0000 0.0000 0.0000  6 Li 2.88
Se 0.0000 0.0000 0.5000  6 Li 2.53

Density functional theory data (PBE-GGA) for a geometry-optimized LiCrSe3 structure.

As for the crystal system: orthorhombic. The density of states at the Fermi level is 14.47 states/eV/cell. The calculated total energy comes out at -4.645 eV/atom. For the distance to the lowest polymorph of the same formula, the calculation gives 0.354 eV/atom. The value obtained for the uncorrected formation energy is -23.8 kJ per mole of atoms.

Cell lengths 5.7089, 22.9632, 4.7201 Å; angles 90.00, 90.00, 90.00 degrees
Closest atoms and distances in Å follow each position.
Space group Cmcm (No. 63)
Inequivalent atoms, fractional coordinates:
Li 0.0000 0.0965 0.2500  4 Se 2.51-2.62
Cr 0.0000 0.2815 0.2500  6 Se 2.56-2.81
Se 0.0000 0.0000 0.0000  2 Se 2.36, 2 Li 2.51
Se 0.2414 0.3094 0.7500  3 Cr 2.56-2.81, 1 Li 2.62, 1 Se 2.76

Density functional theory data (PBE-GGA) for a geometry-optimized LiCrSe3 structure.

As for the crystal system: monoclinic. The density of states at the Fermi level is 13.40 states/eV/cell. The calculated total energy comes out at -4.773 eV/atom. For the distance to the lowest polymorph of the same formula, the calculation gives 0.226 eV/atom. The value obtained for the uncorrected formation energy is -36.1 kJ per mole of atoms.

Cell lengths 7.7021, 6.3972, 9.3938 Å; angles 90.00, 123.52, 90.00 degrees
Closest atoms and distances in Å follow each position.
Space group P2_1/c (No. 14)
Inequivalent atoms, fractional coordinates:
Li 0.1111 0.2142 0.0511  4 Se 2.54-2.58
Cr 0.2340 0.6744 0.8840  6 Se 2.34-2.62
Se 0.1013 0.0321 0.7542  2 Cr 2.34-2.53, 1 Li 2.54
Se 0.2837 0.6496 0.6301  2 Cr 2.41-2.62, 2 Li 2.57-2.58
Se 0.3742 0.1727 0.4795  2 Cr 2.41-2.54, 1 Li 2.57

Density functional theory data (PBE-GGA) for a geometry-optimized LiCrSe3 structure.

As for the crystal system: cubic. The density of states at the Fermi level is 7.19 states/eV/cell. The calculated total energy comes out at -4.480 eV/atom. For the distance to the lowest polymorph of the same formula, the calculation gives 0.518 eV/atom. The value obtained for the uncorrected formation energy is -7.9 kJ per mole of atoms.

Cell lengths 4.8069, 4.8069, 4.8069 Å; angles 90.00, 90.00, 90.00 degrees
Closest atoms and distances in Å follow each position.
Space group Pm-3m (No. 221)
Inequivalent atoms, fractional coordinates:
Li 0.0000 0.0000 0.0000  12 Se 3.40
Cr 0.5000 0.5000 0.5000  6 Se 2.40
Se 0.0000 0.5000 0.5000  2 Cr 2.40

Density functional theory data (PBE-GGA) for a geometry-optimized LiCrSe3 structure.

As for the crystal system: monoclinic. The density of states at the Fermi level is 4.84 states/eV/cell. The calculated total energy comes out at -4.873 eV/atom. For the distance to the lowest polymorph of the same formula, the calculation gives 0.125 eV/atom. The value obtained for the uncorrected formation energy is -45.8 kJ per mole of atoms.

Cell lengths 3.2145, 6.8998, 10.6893 Å; angles 90.00, 90.32, 90.00 degrees
Closest atoms and distances in Å follow each position.
Space group P2_1/m (No. 11)
Inequivalent atoms, fractional coordinates:
Li 0.2465 0.2500 0.3203  6 Se 2.73-2.79
Cr 0.2459 0.7500 0.2650  5 Se 2.23-2.42
Se 0.2496 0.7500 0.4735  1 Cr 2.23
Se 0.2556 0.0140 0.8078  2 Cr 2.42